Record 1
Material: AlCdPb
Method: DFT, PBE
State: relaxed

Unit cell a=4.845 b=4.845 c=4.845 alpha=60.00 beta=60.00 gamma=60.00
Fractional coordinates of all 3 atoms:
Pb 0.500 0.500 0.500
Al 0.750 0.750 0.750
Cd 0.000 0.000 0.000

Properties
For the formation energy from the elements, the calculation gives 0.19 eV per atom. The value obtained for the energy is -7.79 eV per cell. The relative energy among the computed polymorphs comes out at 20 meV per atom.

Record 2
Material: Al2CdPb
Method: DFT, PBE
State: relaxed

Unit cell a=5.091 b=5.091 c=5.091 alpha=60.00 beta=60.00 gamma=60.00
Fractional coordinates of all 4 atoms:
Pb 0.500 0.500 0.500
Al 0.250 0.250 0.250
Al 0.750 0.750 0.750
Cd 0.000 0.000 0.000

Properties
For the formation energy from the elements, the calculation gives 0.29 eV per atom. The value obtained for the energy is -10.93 eV per cell. The relative energy among the computed polymorphs comes out at 145 meV per atom.

Record 3
Material: AlCdPb3
Method: DFT, PBE
State: relaxed

Unit cell a=5.479 b=5.479 c=5.479 alpha=90.00 beta=90.00 gamma=90.00
Fractional coordinates of all 5 atoms:
Pb 0.000 0.500 0.000
Pb 0.000 0.000 0.500
Pb 0.500 0.000 0.000
Al 0.000 0.000 0.000
Cd 0.500 0.500 0.500

Properties
For the formation energy from the elements, the calculation gives 0.41 eV per atom. The value obtained for the energy is -13.74 eV per cell. The relative energy among the computed polymorphs comes out at 0 meV per atom.

Record 4
Material: Al2Cd2Pb
Method: DFT, PBE
State: relaxed

Unit cell a=4.377 b=4.377 c=6.918 alpha=71.56 beta=71.56 gamma=90.00
Fractional coordinates of all 5 atoms:
Pb 0.000 0.000 0.000
Al 0.397 0.397 0.206
Al 0.603 0.603 0.794
Cd 0.750 0.250 0.500
Cd 0.250 0.750 0.500

Properties
For the formation energy from the elements, the calculation gives 0.16 eV per atom. The value obtained for the energy is -12.20 eV per cell. The relative energy among the computed polymorphs comes out at 0 meV per atom.

Record 5
Material: Al2CdPb2
Method: DFT, PBE
State: relaxed

Unit cell a=4.822 b=4.822 c=6.942 alpha=69.68 beta=69.68 gamma=90.00
Fractional coordinates of all 5 atoms:
Pb 0.750 0.250 0.500
Pb 0.250 0.750 0.500
Al 0.394 0.394 0.212
Al 0.606 0.606 0.788
Cd 0.000 0.000 0.000

Properties
For the formation energy from the elements, the calculation gives 0.30 eV per atom. The value obtained for the energy is -14.32 eV per cell. The relative energy among the computed polymorphs comes out at 122 meV per atom.

Record 6
Material: Al2CdPb2
Method: DFT, PBE
State: relaxed

Unit cell a=3.888 b=3.888 c=9.172 alpha=77.76 beta=77.76 gamma=90.00
Fractional coordinates of all 5 atoms:
Pb 0.386 0.386 0.229
Pb 0.614 0.614 0.771
Al 0.750 0.250 0.500
Al 0.250 0.750 0.500
Cd 0.000 0.000 0.000

Properties
For the formation energy from the elements, the calculation gives 0.18 eV per atom. The value obtained for the energy is -14.91 eV per cell. The relative energy among the computed polymorphs comes out at 4 meV per atom.

Record 7
Material: AlCd3Pb
Method: DFT, PBE
State: relaxed

Unit cell a=5.731 b=5.731 c=5.731 alpha=90.00 beta=90.00 gamma=90.00
Fractional coordinates of all 5 atoms:
Pb 0.000 0.000 0.000
Al 0.500 0.500 0.500
Cd 0.000 0.500 0.000
Cd 0.000 0.000 0.500
Cd 0.500 0.000 0.000

Properties
For the formation energy from the elements, the calculation gives 0.68 eV per atom. The value obtained for the energy is -6.79 eV per cell. The relative energy among the computed polymorphs comes out at 330 meV per atom.

Record 8
Material: Al2CdPb
Method: DFT, PBE
State: relaxed

Unit cell a=5.053 b=5.053 c=5.893 alpha=79.36 beta=79.36 gamma=38.87
Fractional coordinates of all 4 atoms:
Pb 0.250 0.250 0.250
Al 0.005 0.005 0.955
Al 0.495 0.495 0.545
Cd 0.750 0.750 0.750

Properties
For the formation energy from the elements, the calculation gives 0.22 eV per atom. The value obtained for the energy is -11.23 eV per cell. The relative energy among the computed polymorphs comes out at 71 meV per atom.

Record 9
Material: AlCd3Pb
Method: DFT, PBE
State: relaxed

Unit cell a=5.240 b=5.240 c=5.240 alpha=90.00 beta=90.00 gamma=90.00
Fractional coordinates of all 5 atoms:
Pb 0.500 0.500 0.500
Al 0.000 0.000 0.000
Cd 0.000 0.500 0.000
Cd 0.000 0.000 0.500
Cd 0.500 0.000 0.000

Properties
For the formation energy from the elements, the calculation gives 0.35 eV per atom. The value obtained for the energy is -8.44 eV per cell. The relative energy among the computed polymorphs comes out at 0 meV per atom.

Record 10
Material: Al2Cd2Pb
Method: DFT, PBE
State: relaxed

Unit cell a=4.197 b=4.197 c=7.303 alpha=73.30 beta=73.30 gamma=90.00
Fractional coordinates of all 5 atoms:
Pb 0.000 0.000 0.000
Al 0.750 0.250 0.500
Al 0.250 0.750 0.500
Cd 0.392 0.392 0.216
Cd 0.608 0.608 0.784

Properties
For the formation energy from the elements, the calculation gives 0.17 eV per atom. The value obtained for the energy is -12.19 eV per cell. The relative energy among the computed polymorphs comes out at 1 meV per atom.

Record 11
Material: Al2CdPb
Method: DFT, PBE
State: relaxed

Unit cell a=5.094 b=5.094 c=5.094 alpha=60.00 beta=60.00 gamma=60.00
Fractional coordinates of all 4 atoms:
Pb 0.250 0.250 0.250
Al 0.000 0.000 0.000
Al 0.750 0.750 0.750
Cd 0.500 0.500 0.500

Properties
For the formation energy from the elements, the calculation gives 0.27 eV per atom. The value obtained for the energy is -11.02 eV per cell. The relative energy among the computed polymorphs comes out at 123 meV per atom.

Record 12
Material: Al2CdPb
Method: DFT, PBE
State: relaxed

Unit cell a=8.038 b=8.038 c=6.426 alpha=51.29 beta=51.29 gamma=90.00
Fractional coordinates of all 8 atoms:
Pb 0.000 0.000 0.000
Pb 0.750 0.250 0.500
Al 0.612 0.125 0.250
Al 0.138 0.625 0.250
Al 0.375 0.388 0.750
Al 0.875 0.862 0.750
Cd 0.500 0.500 0.000
Cd 0.250 0.750 0.500

Properties
For the formation energy from the elements, the calculation gives 0.33 eV per atom. The value obtained for the energy is -21.59 eV per cell. The relative energy among the computed polymorphs comes out at 180 meV per atom.

Record 13
Material: Al2Cd2Pb
Method: DFT, PBE
State: relaxed

Unit cell a=8.233 b=8.233 c=3.407 alpha=90.00 beta=90.00 gamma=90.00
Fractional coordinates of all 10 atoms:
Pb 0.000 0.000 0.000
Pb 0.500 0.500 0.000
Al 0.383 0.883 0.000
Al 0.883 0.617 0.000
Al 0.617 0.117 0.000
Al 0.117 0.383 0.000
Cd 0.180 0.680 0.500
Cd 0.680 0.820 0.500
Cd 0.820 0.320 0.500
Cd 0.320 0.180 0.500

Properties
For the formation energy from the elements, the calculation gives 0.18 eV per atom. The value obtained for the energy is -24.21 eV per cell. The relative energy among the computed polymorphs comes out at 19 meV per atom.

Record 14
Material: Al2CdPb
Method: DFT, PBE
State: relaxed

Unit cell a=4.699 b=4.699 c=6.611 alpha=81.34 beta=81.34 gamma=40.51
Fractional coordinates of all 4 atoms:
Pb 0.253 0.253 0.233
Al 0.009 0.009 0.948
Al 0.747 0.747 0.774
Cd 0.491 0.491 0.545

Properties
For the formation energy from the elements, the calculation gives 0.19 eV per atom. The value obtained for the energy is -11.33 eV per cell. The relative energy among the computed polymorphs comes out at 44 meV per atom.

Record 15
Material: AlCd4Pb
Method: DFT, PBE
State: relaxed

Unit cell a=5.941 b=5.941 c=5.941 alpha=60.00 beta=60.00 gamma=60.00
Fractional coordinates of all 6 atoms:
Al 0.000 0.000 0.000
Cd 0.876 0.375 0.375
Cd 0.375 0.375 0.876
Cd 0.375 0.876 0.375
Cd 0.375 0.375 0.375
Pb 0.750 0.750 0.750

Properties
For the formation energy from the elements, the calculation gives 0.18 eV per atom. The value obtained for the energy is -10.02 eV per cell.

Record 16
Material: Al3CdPb
Method: DFT, PBE
State: relaxed

Unit cell a=5.125 b=5.125 c=5.125 alpha=90.00 beta=90.00 gamma=90.00
Fractional coordinates of all 5 atoms:
Pb 0.500 0.500 0.500
Al 0.000 0.500 0.000
Al 0.000 0.000 0.500
Al 0.500 0.000 0.000
Cd 0.000 0.000 0.000

Properties
For the formation energy from the elements, the calculation gives 0.67 eV per atom. The value obtained for the energy is -12.53 eV per cell. The relative energy among the computed polymorphs comes out at 0 meV per atom.

Record 17
Material: AlCdPb
Method: DFT, PBE
State: relaxed

Unit cell a=3.406 b=5.190 c=9.017 alpha=112.03 beta=92.40 gamma=91.92
Fractional coordinates of all 6 atoms:
Al 0.785 0.592 0.276
Al 0.215 0.408 0.724
Pb 0.286 0.151 0.356
Pb 0.714 0.849 0.644
Cd 0.751 0.755 0.000
Cd 0.249 0.245 0.000

Properties
For the formation energy from the elements, the calculation gives 0.18 eV per atom. The value obtained for the energy is -15.68 eV per cell. The relative energy among the computed polymorphs comes out at 2 meV per atom.

Record 18
Material: Al2CdPb
Method: DFT, PBE
State: relaxed

Unit cell a=6.193 b=6.193 c=6.193 alpha=149.88 beta=128.65 gamma=60.69
Fractional coordinates of all 4 atoms:
Pb 0.238 0.738 0.500
Al 0.976 0.976 0.000
Al 0.763 0.263 0.500
Cd 0.523 0.523 0.000

Properties
For the formation energy from the elements, the calculation gives 0.23 eV per atom. The value obtained for the energy is -11.18 eV per cell. The relative energy among the computed polymorphs comes out at 83 meV per atom.

Record 19
Material: Al2CdPb
Method: DFT, PBE
State: relaxed

Unit cell a=3.250 b=4.232 c=6.706 alpha=90.00 beta=90.00 gamma=90.00
Fractional coordinates of all 4 atoms:
Pb 0.500 0.500 0.750
Al 0.000 0.000 0.037
Al 0.000 0.000 0.463
Cd 0.500 0.500 0.250

Properties
For the formation energy from the elements, the calculation gives 0.23 eV per atom. The value obtained for the energy is -11.18 eV per cell. The relative energy among the computed polymorphs comes out at 84 meV per atom.

Record 20
Material: Al2CdPb
Method: DFT, PBE
State: relaxed

Unit cell a=10.560 b=10.560 c=10.560 alpha=17.41 beta=17.41 gamma=17.41
Fractional coordinates of all 4 atoms:
Pb 0.750 0.750 0.750
Al 0.992 0.992 0.992
Al 0.508 0.508 0.508
Cd 0.250 0.250 0.250

Properties
For the formation energy from the elements, the calculation gives 0.23 eV per atom. The value obtained for the energy is -11.19 eV per cell. The relative energy among the computed polymorphs comes out at 80 meV per atom.